A geometry-optimized CuNiPC structure. Source: Alexandria via LeMat-Bulk, functional GGA-PBE.

Lattice parameters (Å, degrees): 9.076 2.714 4.105 90.00 93.52 90.00
Space group Cm (No. 8)
Symmetry-distinct sites (fractional):
Cu (0.000, 0.000, 0.000) x2
Ni (0.251, 0.000, 0.743) x2
P (0.304, 0.500, 0.320) x2
C (0.157, 0.500, 0.007) x2

Summary:
As for the offset from the most stable computed form: 166 meV per atom. The final energy comes out at -5.73 eV/atom. The density of states at the Fermi level is 3.3 states/eV/cell. The value obtained for the magnetic moment is 0.00 μB/f.u. The formation energy comes out at 0.401 eV/atom.


A geometry-optimized CuNiPC structure. Source: Alexandria via LeMat-Bulk, functional GGA-PBE.

Lattice parameters (Å, degrees): 7.144 3.368 5.532 90.00 124.17 90.00
Space group Cm (No. 8)
Symmetry-distinct sites (fractional):
Cu (0.000, 0.000, 0.000) x2
Ni (0.024, 0.500, 0.658) x2
P (0.103, 0.500, 0.328) x2
C (0.396, 0.500, 0.591) x2

Summary:
As for the offset from the most stable computed form: 207 meV per atom. The final energy comes out at -5.69 eV/atom. The density of states at the Fermi level is 4.2 states/eV/cell. The value obtained for the magnetic moment is 0.00 μB/f.u. The formation energy comes out at 0.442 eV/atom.


A geometry-optimized CuNiPC structure. Source: Alexandria via LeMat-Bulk, functional GGA-PBE.

Lattice parameters (Å, degrees): 8.447 2.885 4.142 90.00 115.78 90.00
Space group Cm (No. 8)
Symmetry-distinct sites (fractional):
Cu (0.000, 0.000, 0.000) x2
Ni (0.307, 0.500, 0.322) x2
P (0.115, 0.000, 0.591) x2
C (0.243, 0.500, 0.777) x2

Summary:
As for the offset from the most stable computed form: 33 meV per atom. The final energy comes out at -5.86 eV/atom. The density of states at the Fermi level is 2.5 states/eV/cell. The value obtained for the magnetic moment is 0.00 μB/f.u. The formation energy comes out at 0.269 eV/atom.


A geometry-optimized CuNiPC structure. Source: Alexandria via LeMat-Bulk, functional GGA-PBE.

Lattice parameters (Å, degrees): 2.893 4.093 7.710 90.00 90.00 90.00
Space group Imm2 (No. 44)
Symmetry-distinct sites (fractional):
Cu (0.000, 0.000, 0.000) x2
Ni (0.000, 0.500, 0.802) x2
P (0.000, 0.000, 0.687) x2
C (0.000, 0.500, 0.052) x2

Summary:
As for the offset from the most stable computed form: 0 meV per atom. The final energy comes out at -5.89 eV/atom. The density of states at the Fermi level is 3.2 states/eV/cell. The value obtained for the magnetic moment is 0.00 μB/f.u. The formation energy comes out at 0.236 eV/atom.


A geometry-optimized CuNiPb2C structure. Source: Alexandria via LeMat-Bulk, functional GGA-PBE.

Lattice parameters (Å, degrees): 5.366 5.366 3.494 90.00 90.00 90.00
Space group P4/mmm (No. 123)
Symmetry-distinct sites (fractional):
Cu (0.000, 0.000, 0.000) x1
Ni (0.500, 0.500, 0.500) x1
Pb (0.000, 0.500, 0.500) x2
C (0.500, 0.500, 0.000) x1

Summary:
The final energy comes out at -4.56 eV/atom. The density of states at the Fermi level is 3.2 states/eV/cell. The value obtained for the magnetic moment is 0.00 μB/f.u. The formation energy comes out at 0.748 eV/atom.


A geometry-optimized CuNi2PdC structure. Source: Alexandria via LeMat-Bulk, functional GGA-PBE.

Lattice parameters (Å, degrees): 3.746 3.746 4.010 90.00 90.00 90.00
Space group P4/mmm (No. 123)
Symmetry-distinct sites (fractional):
Cu (0.000, 0.000, 0.000) x1
Ni (0.000, 0.500, 0.500) x2
Pd (0.500, 0.500, 0.000) x1
C (0.000, 0.000, 0.500) x1

Summary:
The final energy comes out at -5.85 eV/atom. The density of states at the Fermi level is 5.0 states/eV/cell. The value obtained for the magnetic moment is 0.00 μB/f.u. The formation energy comes out at 0.169 eV/atom.


A geometry-optimized CuReNi2C structure. Source: Alexandria via LeMat-Bulk, functional GGA-PBE.

Lattice parameters (Å, degrees): 3.765 3.765 3.928 90.00 90.00 90.00
Space group P4/mmm (No. 123)
Symmetry-distinct sites (fractional):
Cu (0.000, 0.000, 0.000) x1
Re (0.500, 0.500, 0.000) x1
Ni (0.000, 0.500, 0.500) x2
C (0.000, 0.000, 0.500) x1

Summary:
The final energy comes out at -6.77 eV/atom. The density of states at the Fermi level is 5.4 states/eV/cell. The value obtained for the magnetic moment is 0.00 μB/f.u. The formation energy comes out at 0.697 eV/atom.


A geometry-optimized CuNi2RuC structure. Source: Alexandria via LeMat-Bulk, functional GGA-PBE.

Lattice parameters (Å, degrees): 3.767 3.767 3.972 90.00 90.00 90.00
Space group P4/mmm (No. 123)
Symmetry-distinct sites (fractional):
Cu (0.000, 0.000, 0.000) x1
Ni (0.000, 0.500, 0.500) x2
Ru (0.500, 0.500, 0.000) x1
C (0.500, 0.500, 0.500) x1

Summary:
The final energy comes out at -6.64 eV/atom. The density of states at the Fermi level is 7.3 states/eV/cell. The value obtained for the magnetic moment is 0.00 μB/f.u. The formation energy comes out at 0.188 eV/atom.


A geometry-optimized Sc2CuNiC structure. Source: Alexandria via LeMat-Bulk, functional GGA-PBE.

Lattice parameters (Å, degrees): 4.520 4.520 3.659 90.00 90.00 90.00
Space group P4/mmm (No. 123)
Symmetry-distinct sites (fractional):
Sc (0.000, 0.500, 0.000) x2
Cu (0.000, 0.000, 0.500) x1
Ni (0.500, 0.500, 0.500) x1
C (0.500, 0.500, 0.000) x1

Summary:
The final energy comes out at -6.70 eV/atom. The density of states at the Fermi level is 3.9 states/eV/cell. The value obtained for the magnetic moment is 0.00 μB/f.u. The formation energy comes out at -0.349 eV/atom.


A geometry-optimized Cu2NiCSe structure. Source: Alexandria via LeMat-Bulk, functional GGA-PBE.

Lattice parameters (Å, degrees): 4.503 4.503 4.214 90.00 90.00 90.00
Space group P4/mmm (No. 123)
Symmetry-distinct sites (fractional):
Cu (0.000, 0.500, 0.000) x2
Ni (0.000, 0.000, 0.000) x1
C (0.500, 0.500, 0.500) x1
Se (0.000, 0.000, 0.500) x1

Summary:
The value obtained for the uncorrected formation energy is 828 kJ/mol of formula units. The final energy comes out at -3.62 eV/atom. The density of states at the Fermi level is 3.2 states/eV/cell. The value obtained for the magnetic moment is 1.23 μB/f.u.


A geometry-optimized CuSiNiC structure. Source: Alexandria via LeMat-Bulk, functional GGA-PBE.

Lattice parameters (Å, degrees): 3.750 3.097 4.465 90.00 114.43 90.00
Space group Pm (No. 6)
Symmetry-distinct sites (fractional):
Cu (0.000, 0.000, 0.000) x1
Si (0.684, 0.000, 0.375) x1
Ni (0.249, 0.500, 0.506) x1
C (0.817, 0.500, 0.642) x1

Summary:
As for the offset from the most stable computed form: 105 meV per atom. The value obtained for the uncorrected formation energy is 137 kJ/mol of formula units. The final energy comes out at -5.78 eV/atom. The density of states at the Fermi level is 1.7 states/eV/cell. The value obtained for the magnetic moment is 0.00 μB/f.u.


A geometry-optimized CuSiNiC structure. Source: Alexandria via LeMat-Bulk, functional GGA-PBE.

Lattice parameters (Å, degrees): 3.732 3.237 3.763 90.00 103.34 90.00
Space group Pm (No. 6)
Symmetry-distinct sites (fractional):
Cu (0.000, 0.000, 0.000) x1
Si (0.452, 0.500, 0.841) x1
Ni (0.848, 0.500, 0.454) x1
C (0.304, 0.500, 0.299) x1

Summary:
As for the offset from the most stable computed form: 197 meV per atom. The value obtained for the uncorrected formation energy is 173 kJ/mol of formula units. The final energy comes out at -5.68 eV/atom. The density of states at the Fermi level is 1.7 states/eV/cell. The value obtained for the magnetic moment is 0.00 μB/f.u.


A geometry-optimized CuSiNiC structure. Source: Alexandria via LeMat-Bulk, functional GGA-PBE.

Lattice parameters (Å, degrees): 5.400 2.709 6.609 90.00 109.58 90.00
Space group Cm (No. 8)
Symmetry-distinct sites (fractional):
Cu (0.000, 0.000, 0.000) x2
Si (0.089, 0.500, 0.330) x2
Ni (0.061, 0.500, 0.694) x2
C (0.452, 0.500, 0.466) x2

Summary:
As for the offset from the most stable computed form: 133 meV per atom. The value obtained for the uncorrected formation energy is 148 kJ/mol of formula units. The final energy comes out at -5.75 eV/atom. The density of states at the Fermi level is 4.3 states/eV/cell. The value obtained for the magnetic moment is 0.00 μB/f.u.